Computed, not measured: a geometry-optimized K2CoNi structure at the PBE level of DFT.

Unit cell a=4.200 b=4.200 c=5.157 alpha=90.00 beta=90.00 gamma=90.00
Sites, in units of the cell vectors:
Co: 0.000 0.500 0.500
K: 0.000 0.000 0.000
K: 0.500 0.500 0.000
Ni: 0.500 0.000 0.500

Formation energy from the elements in meV per atom: 1162
Polymorph energy (0 for the lowest one) in eV per atom: 0.631
SG: No. 123
Fermi-level density of states in states/eV per cell: 6.437
Magnetization in μB per cell: 1.97